Entry 1:
# Pm2AlRh3

An optimized crystal structure of Pm2AlRh3 (PBE, the Alexandria database).

Values from the calculation:
The space group is Immm, No. 71. As for the distance to the lowest polymorph of the same formula: 327 meV/atom. For the energy relative to the elements, the calculation gives -0.5210 eV/atom. The value obtained for the volume is 124 Å³/cell. The calculation puts the total energy at -6.40 eV/atom.

```
Pm2AlRh3
1.0
-2.114 2.683 5.459
2.114 -2.683 5.459
2.114 2.683 -5.459
Pm Al Rh
2 1 3
Cartesian
0.000 0.000 2.007 Pm
0.000 0.000 8.911 Pm
0.000 0.000 5.459 Al
2.114 0.000 0.000 Rh
2.114 0.000 4.103 Rh
0.000 2.683 1.356 Rh
```

=====

Entry 2:
# Pm2AlRh

An optimized crystal structure of Pm2AlRh (PBE, the Alexandria database).

Values from the calculation:
The space group is P2_1/m, No. 11. For the energy relative to the elements, the calculation gives -0.5815 eV/atom. The value obtained for the volume is 199 Å³/cell. The calculation puts the total energy at -5.73 eV/atom.

```
Pm2AlRh
1.0
6.224 0.000 0.000
0.000 3.795 0.000
-2.713 0.000 8.428
Pm Al Rh
4 2 2
Cartesian
0.121 0.949 3.433 Pm
1.537 2.846 0.475 Pm
1.974 0.949 7.954 Pm
3.390 2.846 4.995 Pm
0.215 2.846 6.028 Al
3.296 0.949 2.401 Al
-1.429 0.949 6.688 Rh
4.940 2.846 1.740 Rh
```

=====

Entry 3:
# Pm2AlRh2

An optimized crystal structure of Pm2AlRh2 (PBE, the Alexandria database).

Values from the calculation:
The space group is C2/c, No. 15. As for the distance to the lowest polymorph of the same formula: 0 meV/atom. For the energy relative to the elements, the calculation gives -0.8191 eV/atom. The value obtained for the volume is 214 Å³/cell. The calculation puts the total energy at -6.41 eV/atom.

```
Pm2AlRh2
1.0
5.118 -2.812 0.000
5.118 2.812 0.000
-1.825 0.000 7.440
Pm Al Rh
4 2 4
Cartesian
1.236 0.794 1.106 Pm
0.323 -0.794 4.826 Pm
8.088 0.794 2.614 Pm
7.176 -0.794 6.334 Pm
4.662 0.707 1.860 Al
3.749 -0.707 5.580 Al
2.870 0.753 3.670 Rh
6.454 0.753 0.050 Rh
1.957 -0.753 7.390 Rh
5.541 -0.753 3.770 Rh
```

=====

Entry 4:
# PmAlRh

An optimized crystal structure of PmAlRh (PBE, the Alexandria database).

Values from the calculation:
The space group is Pnma, No. 62. As for the distance to the lowest polymorph of the same formula: 0 meV/atom. For the energy relative to the elements, the calculation gives -0.8289 eV/atom. The value obtained for the volume is 243 Å³/cell. The calculation puts the total energy at -6.11 eV/atom.

```
PmAlRh
1.0
7.432 0.000 0.000
0.000 4.641 0.000
0.000 0.000 7.056
Pm Al Rh
4 4 4
Cartesian
0.224 1.160 1.293 Pm
3.492 3.481 4.820 Pm
3.940 1.160 2.235 Pm
7.208 3.481 5.763 Pm
1.386 1.160 4.306 Al
2.331 3.481 0.778 Al
5.102 1.160 6.278 Al
6.047 3.481 2.750 Al
1.125 3.481 3.047 Rh
2.591 1.160 6.575 Rh
4.841 3.481 0.480 Rh
6.307 1.160 4.008 Rh
```

=====

Entry 5:
# PmAl3Rh4

An optimized crystal structure of PmAl3Rh4 (PBE, the Alexandria database).

Values from the calculation:
The space group is R-3m, No. 166. For the energy relative to the elements, the calculation gives -0.9223 eV/atom. The value obtained for the volume is 128 Å³/cell. The calculation puts the total energy at -6.60 eV/atom.

```
PmAl3Rh4
1.0
2.152 1.243 7.983
-2.152 1.243 7.983
0.000 -2.485 7.983
Pm Al Rh
1 3 4
Cartesian
0.000 0.000 0.000 Pm
0.000 0.000 5.718 Al
0.000 0.000 11.975 Al
0.000 0.000 18.232 Al
0.000 0.000 3.132 Rh
0.000 0.000 9.499 Rh
0.000 0.000 14.450 Rh
0.000 0.000 20.818 Rh
```

=====

Entry 6:
# Pm6AlRh2

An optimized crystal structure of Pm6AlRh2 (PBE, the Alexandria database).

Values from the calculation:
The space group is Immm, No. 71. For the energy relative to the elements, the calculation gives -0.4648 eV/atom. The value obtained for the volume is 496 Å³/cell. The calculation puts the total energy at -5.68 eV/atom.

```
Pm6AlRh2
1.0
-4.776 4.897 5.303
4.776 -4.897 5.303
4.776 4.897 -5.303
Pm Al Rh
12 2 4
Cartesian
4.776 2.986 -2.783 Pm
2.748 1.750 0.000 Pm
6.804 1.750 0.000 Pm
1.844 4.897 -1.802 Pm
2.933 0.000 3.501 Pm
0.000 1.911 2.519 Pm
4.776 2.986 2.783 Pm
1.844 4.897 1.802 Pm
2.933 0.000 7.105 Pm
-2.028 3.147 5.303 Pm
2.028 3.147 5.303 Pm
0.000 1.911 8.086 Pm
0.000 0.000 0.000 Al
0.000 0.000 5.303 Al
4.776 0.000 1.415 Rh
0.000 3.178 0.000 Rh
0.000 6.616 0.000 Rh
0.000 4.897 3.887 Rh
```

=====

Entry 7:
# PmAlRh

An optimized crystal structure of PmAlRh (PBE, the Alexandria database).

Values from the calculation:
The space group is R3m, No. 160. As for the distance to the lowest polymorph of the same formula: 404 meV/atom. For the energy relative to the elements, the calculation gives -0.4252 eV/atom. The value obtained for the volume is 70 Å³/cell. The calculation puts the total energy at -5.71 eV/atom.

```
PmAlRh
1.0
1.931 1.115 5.403
-1.931 1.115 5.403
0.000 -2.230 5.403
Pm Al Rh
1 1 1
Cartesian
0.000 0.000 0.000 Pm
0.000 0.000 13.177 Al
0.000 0.000 3.461 Rh
```

=====

Entry 8:
# Pm3Al2Rh3

An optimized crystal structure of Pm3Al2Rh3 (PBE, the Alexandria database).

Values from the calculation:
The space group is P6_3/mcm, No. 193. For the energy relative to the elements, the calculation gives -0.7051 eV/atom. The value obtained for the volume is 329 Å³/cell. The calculation puts the total energy at -6.18 eV/atom.

```
Pm3Al2Rh3
1.0
8.158 0.000 0.000
-4.079 7.065 0.000
0.000 0.000 5.715
Pm Al Rh
6 4 6
Cartesian
-1.080 1.870 1.429 Pm
-2.999 5.195 4.286 Pm
2.160 0.000 1.429 Pm
1.080 1.870 4.286 Pm
5.998 0.000 4.286 Pm
2.999 5.195 1.429 Pm
0.000 4.710 0.000 Al
0.000 4.710 2.858 Al
4.079 2.355 0.000 Al
4.079 2.355 2.858 Al
-1.660 2.876 4.286 Rh
-2.419 4.189 1.429 Rh
3.321 0.000 4.286 Rh
1.660 2.876 1.429 Rh
4.837 0.000 1.429 Rh
2.419 4.189 4.286 Rh
```

=====

Entry 9:
# Pm5AlRh4

An optimized crystal structure of Pm5AlRh4 (PBE, the Alexandria database).

Values from the calculation:
The space group is P4/mmm, No. 123. For the energy relative to the elements, the calculation gives -0.6136 eV/atom. The value obtained for the volume is 224 Å³/cell. The calculation puts the total energy at -6.30 eV/atom.

```
Pm5AlRh4
1.0
3.595 0.000 0.000
0.000 3.595 0.000
0.000 0.000 17.363
Pm Al Rh
5 1 4
Cartesian
0.000 0.000 0.000 Pm
0.000 0.000 3.421 Pm
0.000 0.000 6.792 Pm
0.000 0.000 10.571 Pm
0.000 0.000 13.942 Pm
1.798 1.798 8.682 Al
1.798 1.798 1.728 Rh
1.798 1.798 5.167 Rh
1.798 1.798 12.196 Rh
1.798 1.798 15.635 Rh
```

=====

Entry 10:
# Pm2Al2Rh

An optimized crystal structure of Pm2Al2Rh (PBE, the Alexandria database).

Values from the calculation:
The space group is I4_1/amd, No. 141. As for the distance to the lowest polymorph of the same formula: 260 meV/atom. For the energy relative to the elements, the calculation gives -0.3637 eV/atom. The value obtained for the volume is 244 Å³/cell. The calculation puts the total energy at -5.23 eV/atom.

```
Pm2Al2Rh
1.0
-2.284 2.284 11.668
2.284 -2.284 11.668
2.284 2.284 -11.668
Pm Al Rh
4 4 2
Cartesian
2.284 1.142 -4.515 Pm
0.000 1.142 1.319 Pm
2.284 1.142 10.349 Pm
0.000 1.142 16.182 Pm
2.284 1.142 -1.251 Al
0.000 1.142 4.583 Al
2.284 1.142 7.085 Al
0.000 1.142 12.919 Al
2.284 1.142 2.917 Rh
0.000 1.142 8.751 Rh
```

=====

Entry 11:
# Pm12AlRh7

An optimized crystal structure of Pm12AlRh7 (PBE, the Alexandria database).

Values from the calculation:
The space group is R-3, No. 148. For the energy relative to the elements, the calculation gives -0.5483 eV/atom. The value obtained for the volume is 553 Å³/cell. The calculation puts the total energy at -6.16 eV/atom.

```
Pm12AlRh7
1.0
7.381 4.261 2.928
-7.381 4.261 2.928
0.000 -8.522 2.928
Pm Al Rh
12 1 7
Cartesian
-1.080 -4.033 3.035 Pm
-2.116 -0.517 2.459 Pm
-2.953 2.952 3.035 Pm
1.506 -1.574 2.459 Pm
-4.033 -1.082 5.750 Pm
0.611 2.091 2.459 Pm
-0.611 -2.091 6.325 Pm
4.033 1.082 3.035 Pm
-1.506 1.574 6.325 Pm
2.953 -2.952 5.750 Pm
2.116 0.517 6.325 Pm
1.080 4.033 5.750 Pm
0.000 0.000 0.000 Al
-1.726 -6.716 3.669 Rh
-6.679 -1.863 5.116 Rh
-4.953 4.853 3.669 Rh
0.000 0.000 4.392 Rh
4.953 -4.853 5.116 Rh
6.679 1.863 3.669 Rh
1.726 6.716 5.116 Rh
```

=====

Entry 12:
# Pm3AlRh3

An optimized crystal structure of Pm3AlRh3 (PBE, the Alexandria database).

Values from the calculation:
The space group is Cmcm, No. 63. For the energy relative to the elements, the calculation gives -0.7960 eV/atom. The value obtained for the volume is 306 Å³/cell. The calculation puts the total energy at -6.52 eV/atom.

```
Pm3AlRh3
1.0
2.047 -5.346 0.000
2.047 5.346 0.000
0.000 0.000 13.977
Pm Al Rh
6 2 6
Cartesian
2.047 5.144 10.483 Pm
2.047 2.196 8.481 Pm
2.047 2.196 12.485 Pm
2.047 -2.196 1.492 Pm
2.047 -2.196 5.496 Pm
2.047 -5.144 3.494 Pm
0.000 0.000 0.000 Al
0.000 0.000 6.988 Al
2.047 2.567 3.494 Rh
2.047 0.835 1.222 Rh
2.047 0.835 5.767 Rh
2.047 -0.835 8.210 Rh
2.047 -0.835 12.755 Rh
2.047 -2.567 10.483 Rh
```

=====

Entry 13:
# Pm2AlRh3

An optimized crystal structure of Pm2AlRh3 (PBE, the Alexandria database).

Values from the calculation:
The space group is R-3m, No. 166. As for the distance to the lowest polymorph of the same formula: 0 meV/atom. For the energy relative to the elements, the calculation gives -0.8478 eV/atom. The value obtained for the volume is 113 Å³/cell. The calculation puts the total energy at -6.73 eV/atom.

```
Pm2AlRh3
1.0
2.858 1.650 3.976
-2.858 1.650 3.976
0.000 -3.300 3.976
Pm Al Rh
2 1 3
Cartesian
0.000 0.000 1.553 Pm
0.000 0.000 10.374 Pm
0.000 0.000 5.964 Al
-1.429 -0.825 3.976 Rh
-1.429 0.825 7.952 Rh
0.000 1.650 3.976 Rh
```

=====

Entry 14:
# PmAl3Rh2

An optimized crystal structure of PmAl3Rh2 (PBE, the Alexandria database).

Values from the calculation:
The space group is Cmcm, No. 63. For the energy relative to the elements, the calculation gives -0.8557 eV/atom. The value obtained for the volume is 217 Å³/cell. The calculation puts the total energy at -5.97 eV/atom.

```
PmAl3Rh2
1.0
4.829 -3.983 0.000
4.829 3.983 0.000
0.000 0.000 5.638
Pm Al Rh
2 6 4
Cartesian
4.829 2.841 4.229 Pm
4.829 -2.841 1.410 Pm
3.079 2.216 1.410 Al
6.578 2.216 1.410 Al
4.829 0.261 1.410 Al
4.829 -0.261 4.229 Al
3.079 -2.216 4.229 Al
6.578 -2.216 4.229 Al
2.765 0.000 0.000 Rh
2.765 0.000 2.819 Rh
6.892 0.000 0.000 Rh
6.892 0.000 2.819 Rh
```

=====

Entry 15:
# Pm2AlRh2

An optimized crystal structure of Pm2AlRh2 (PBE, the Alexandria database).

Values from the calculation:
The space group is Ibam, No. 72. As for the distance to the lowest polymorph of the same formula: 159 meV/atom. For the energy relative to the elements, the calculation gives -0.6604 eV/atom. The value obtained for the volume is 231 Å³/cell. The calculation puts the total energy at -6.25 eV/atom.

```
Pm2AlRh2
1.0
-3.588 5.448 2.949
3.588 -5.448 2.949
3.588 5.448 -2.949
Pm Al Rh
4 2 4
Cartesian
1.113 1.643 0.000 Pm
1.113 -1.643 2.949 Pm
2.475 7.090 0.000 Pm
2.475 3.805 2.949 Pm
3.588 0.000 1.475 Al
0.000 5.448 1.475 Al
5.313 1.074 0.000 Rh
1.725 4.373 0.000 Rh
1.863 1.074 2.949 Rh
-1.725 4.373 2.949 Rh
```

=====

Entry 16:
# Pm4Al16Rh3

An optimized crystal structure of Pm4Al16Rh3 (PBE, the Alexandria database).

Values from the calculation:
The space group is P4/mmm, No. 123. For the energy relative to the elements, the calculation gives -0.6375 eV/atom. The value obtained for the volume is 437 Å³/cell. The calculation puts the total energy at -5.03 eV/atom.

```
Pm4Al16Rh3
1.0
6.190 0.000 0.000
0.000 6.190 0.000
0.000 0.000 11.401
Pm Al Rh
4 16 3
Cartesian
0.000 3.095 2.188 Pm
0.000 3.095 9.213 Pm
3.095 0.000 2.188 Pm
3.095 0.000 9.213 Pm
0.000 0.000 2.209 Al
0.000 0.000 9.192 Al
1.345 1.345 0.000 Al
1.345 4.845 0.000 Al
1.553 1.553 4.369 Al
1.553 1.553 7.032 Al
1.553 4.636 4.369 Al
1.553 4.636 7.032 Al
3.095 3.095 2.515 Al
3.095 3.095 8.886 Al
4.636 1.553 4.369 Al
4.636 1.553 7.032 Al
4.636 4.636 4.369 Al
4.636 4.636 7.032 Al
4.845 1.345 0.000 Al
4.845 4.845 0.000 Al
0.000 3.095 5.700 Rh
3.095 0.000 5.700 Rh
3.095 3.095 0.000 Rh
```

=====

Entry 17:
# PmAl9Rh2

An optimized crystal structure of PmAl9Rh2 (PBE, the Alexandria database).

Values from the calculation:
The space group is I4_1/amd, No. 141. For the energy relative to the elements, the calculation gives -0.5602 eV/atom. The value obtained for the volume is 402 Å³/cell. The calculation puts the total energy at -4.99 eV/atom.

```
PmAl9Rh2
1.0
-5.379 5.379 3.471
5.379 -5.379 3.471
5.379 5.379 -3.471
Pm Al Rh
2 18 4
Cartesian
5.379 2.690 0.868 Pm
0.000 2.690 2.603 Pm
5.379 -2.690 2.603 Al
4.072 -0.537 1.278 Al
6.686 -0.537 1.278 Al
2.152 1.383 0.458 Al
8.606 1.383 0.458 Al
4.072 4.842 -1.278 Al
1.307 -0.537 2.193 Al
2.152 3.996 0.458 Al
3.227 -1.383 3.929 Al
2.152 6.762 -0.458 Al
3.227 1.383 3.014 Al
4.072 5.917 1.278 Al
1.307 0.537 4.749 Al
-3.227 3.996 3.014 Al
3.227 3.996 3.014 Al
-1.307 5.917 2.193 Al
1.307 5.917 2.193 Al
0.000 8.069 0.868 Al
0.000 0.000 0.000 Rh
2.690 2.690 -1.736 Rh
2.690 -2.690 1.736 Rh
0.000 5.379 0.000 Rh
```

=====

Entry 18:
# Pm3AlRh2

An optimized crystal structure of Pm3AlRh2 (PBE, the Alexandria database).

Values from the calculation:
The space group is Pnma, No. 62. As for the distance to the lowest polymorph of the same formula: 0 meV/atom. For the energy relative to the elements, the calculation gives -0.6342 eV/atom. The value obtained for the volume is 590 Å³/cell. The calculation puts the total energy at -6.08 eV/atom.

```
Pm3AlRh2
1.0
12.236 0.000 0.000
0.000 3.923 0.000
0.000 0.000 12.286
Pm Al Rh
12 4 8
Cartesian
0.803 0.981 1.507 Pm
1.587 2.942 7.031 Pm
2.359 0.981 10.090 Pm
3.759 2.942 3.947 Pm
4.531 0.981 0.887 Pm
5.315 2.942 7.651 Pm
6.921 0.981 4.636 Pm
7.705 2.942 11.399 Pm
8.477 0.981 8.340 Pm
9.877 2.942 2.197 Pm
10.649 0.981 5.256 Pm
11.432 2.942 10.779 Pm
1.486 0.981 4.553 Al
4.632 2.942 10.696 Al
7.604 0.981 1.591 Al
10.749 2.942 7.734 Al
0.172 2.942 3.750 Rh
2.435 2.942 12.136 Rh
3.682 0.981 5.993 Rh
5.946 0.981 9.893 Rh
6.290 2.942 2.394 Rh
8.553 2.942 6.294 Rh
9.800 0.981 0.150 Rh
12.064 0.981 8.537 Rh
```

=====

Entry 19:
# PmAlRuRh

An optimized crystal structure of PmAlRuRh (PBE, the Alexandria database).

Values from the calculation:
The space group is F-43m, No. 216. For the energy relative to the elements, the calculation gives -0.4877 eV/atom. The value obtained for the volume is 70 Å³/cell. The calculation puts the total energy at -6.77 eV/atom.

```
PmAlRuRh
1.0
0.000 3.267 3.267
3.267 0.000 3.267
3.267 3.267 0.000
Pm Al Ru Rh
1 1 1 1
Cartesian
0.000 0.000 0.000 Pm
3.267 3.267 3.267 Al
4.900 4.900 4.900 Ru
1.633 1.633 1.633 Rh
```

=====

Entry 20:
# PmScAlRh

An optimized crystal structure of PmScAlRh (PBE, the Alexandria database).

Values from the calculation:
The space group is F-43m, No. 216. For the energy relative to the elements, the calculation gives -0.4992 eV/atom. The value obtained for the volume is 84 Å³/cell. The calculation puts the total energy at -6.04 eV/atom.

```
PmScAlRh
1.0
0.000 3.479 3.479
3.479 0.000 3.479
3.479 3.479 0.000
Pm Sc Al Rh
1 1 1 1
Cartesian
0.000 0.000 0.000 Pm
3.479 3.479 3.479 Sc
1.739 1.739 1.739 Al
5.218 5.218 5.218 Rh
```

=====

| no. | M_tot (μB per cell) |
| --- | --- |
| 1 | 0.00 |
| 2 | 0.00 |
| 3 | 0.00 |
| 4 | 0.00 |
| 5 | 0.00 |
| 6 | 0.00 |
| 7 | 0.00 |
| 8 | 0.00 |
| 9 | 0.00 |
| 10 | 0.00 |
| 11 | 0.00 |
| 12 | 0.00 |
| 13 | 0.00 |
| 14 | 0.00 |
| 15 | 0.00 |
| 16 | 0.00 |
| 17 | 0.00 |
| 18 | 0.00 |
| 19 | 0.00 |
| 20 | 0.00 |